Entry P
Compound: TcHgSb
Source: Alexandria
Functional: PBE
Structure: relaxed

The space group is P-6m2 (No. 187) and the conventional cell measures 4.4852, 4.4852 and 3.6227 Å, with angles of 90.00, 90.00 and 120.00 degrees. The asymmetric unit holds Tc at (0.0000, 0.0000, 0.0000), Hg at (0.6667, 0.3333, 0.5000) and Sb at (0.3333, 0.6667, 0.0000).

Its total magnetization is 0.00 μB per atom.



Entry Q
Compound: TcHgSb
Source: Alexandria
Functional: PBE
Structure: relaxed

The space group is I4mm (No. 107) and the conventional cell measures 3.431, 3.431 and 10.188 Å, with angles of 90.00, 90.00 and 90.00 degrees. The asymmetric unit holds Tc at (0.000, 0.000, 0.000), Hg at (0.000, 0.000, 0.322) and Sb at (0.000, 0.000, 0.622).

Its total magnetization is 0.00 μB per atom.



Name the most stable of them. entry Q.